[1]
An optimized crystal structure of AlCdBr2, computed with PBE.

The structure in CIF format:
```
data_AlCdBr2
_chemical_formula_sum 'Al2 Cd2 Br4'
_cell_length_a 6.639
_cell_length_b 3.837
_cell_length_c 10.365
_cell_angle_alpha 90.00
_cell_angle_beta 101.95
_cell_angle_gamma 90.00
_space_group_name_H-M_alt 'P 1'
_space_group_IT_number 1
loop_
_space_group_symop_operation_xyz
'x,y,z'
loop_
_atom_site_label
_atom_site_type_symbol
_atom_site_fract_x
_atom_site_fract_y
_atom_site_fract_z
Al1 Al 0.000 0.000 0.000
Al2 Al 0.500 0.500 0.000
Cd1 Cd 0.000 0.500 0.500
Cd2 Cd 0.500 0.000 0.500
Br1 Br 0.217 0.500 0.157
Br2 Br 0.283 0.000 0.843
Br3 Br 0.717 0.000 0.157
Br4 Br 0.783 0.500 0.843
```

Values from the calculation:
Energy above the lowest structure with this stoichiometry in kJ/mol of formula units: 83
D(E_F) in states/eV/f.u.: 3.08
Formation energy from raw total energies in meV per atom: -269

[2]
An optimized crystal structure of Sn3IrC, computed with PBE.

The structure in CIF format:
```
data_Sn3IrC
_chemical_formula_sum 'Sn3 Ir1 C1'
_cell_length_a 5.106
_cell_length_b 5.106
_cell_length_c 5.106
_cell_angle_alpha 90.00
_cell_angle_beta 90.00
_cell_angle_gamma 90.00
_space_group_name_H-M_alt 'P 1'
_space_group_IT_number 1
loop_
_space_group_symop_operation_xyz
'x,y,z'
loop_
_atom_site_label
_atom_site_type_symbol
_atom_site_fract_x
_atom_site_fract_y
_atom_site_fract_z
Sn1 Sn 0.000 0.000 0.500
Sn2 Sn 0.000 0.500 0.000
Sn3 Sn 0.500 0.000 0.000
Ir1 Ir 0.000 0.000 0.000
C1 C 0.500 0.500 0.500
```

Values from the calculation:
Energy of formation in eV per atom: 1.312
Energy above the lowest structure with this stoichiometry in kJ/mol of formula units: 143
D(E_F) in states/eV/f.u.: 2.74

[3]
An optimized crystal structure of ScP2Pt, computed with PBE.

The structure in CIF format:
```
data_ScP2Pt
_chemical_formula_sum 'Sc1 P2 Pt1'
_cell_length_a 3.872
_cell_length_b 3.789
_cell_length_c 4.817
_cell_angle_alpha 90.00
_cell_angle_beta 93.89
_cell_angle_gamma 90.00
_space_group_name_H-M_alt 'P 1'
_space_group_IT_number 1
loop_
_space_group_symop_operation_xyz
'x,y,z'
loop_
_atom_site_label
_atom_site_type_symbol
_atom_site_fract_x
_atom_site_fract_y
_atom_site_fract_z
Sc1 Sc 0.000 0.000 0.000
P1 P 0.383 0.500 0.782
P2 P 0.617 0.500 0.218
Pt1 Pt 0.500 0.000 0.500
```

Values from the calculation:
Energy of formation in eV per atom: -0.793
Energy above the lowest structure with this stoichiometry in kJ/mol of formula units: 32
D(E_F) in states/eV/f.u.: 2.23

[4]
An optimized crystal structure of Ba2CaP, computed with PBE.

The structure in CIF format:
```
data_Ba2CaP
_chemical_formula_sum 'Ba2 Ca1 P1'
_cell_length_a 3.920
_cell_length_b 3.920
_cell_length_c 10.430
_cell_angle_alpha 90.00
_cell_angle_beta 90.00
_cell_angle_gamma 90.00
_space_group_name_H-M_alt 'P 1'
_space_group_IT_number 1
loop_
_space_group_symop_operation_xyz
'x,y,z'
loop_
_atom_site_label
_atom_site_type_symbol
_atom_site_fract_x
_atom_site_fract_y
_atom_site_fract_z
Ba1 Ba 0.000 0.000 0.000
Ba2 Ba 0.500 0.500 0.378
Ca1 Ca 0.000 0.000 0.697
P1 P 0.500 0.500 0.819
```

Values from the calculation:
Energy of formation in eV per atom: -0.466
D(E_F) in states/eV/f.u.: 3.02

[5]
An optimized crystal structure of Hf2AlVN, computed with PBE.

The structure in CIF format:
```
data_Hf2AlVN
_chemical_formula_sum 'Hf2 Al1 V1 N1'
_cell_length_a 4.487
_cell_length_b 4.487
_cell_length_c 3.846
_cell_angle_alpha 90.00
_cell_angle_beta 90.00
_cell_angle_gamma 90.00
_space_group_name_H-M_alt 'P 1'
_space_group_IT_number 1
loop_
_space_group_symop_operation_xyz
'x,y,z'
loop_
_atom_site_label
_atom_site_type_symbol
_atom_site_fract_x
_atom_site_fract_y
_atom_site_fract_z
Hf1 Hf 0.000 0.500 0.000
Hf2 Hf 0.500 0.000 0.000
Al1 Al 0.000 0.000 0.500
V1 V 0.500 0.500 0.500
N1 N 0.500 0.500 0.000
```

Values from the calculation:
D(E_F) in states/eV/f.u.: 3.49
Formation energy from raw total energies in meV per atom: -769

[6]
An optimized crystal structure of YTaZn2, computed with PBE.

The structure in CIF format:
```
data_YTaZn2
_chemical_formula_sum 'Y4 Ta4 Zn8'
_cell_length_a 6.716
_cell_length_b 6.716
_cell_length_c 6.716
_cell_angle_alpha 90.00
_cell_angle_beta 90.00
_cell_angle_gamma 90.00
_space_group_name_H-M_alt 'P 1'
_space_group_IT_number 1
loop_
_space_group_symop_operation_xyz
'x,y,z'
loop_
_atom_site_label
_atom_site_type_symbol
_atom_site_fract_x
_atom_site_fract_y
_atom_site_fract_z
Y1 Y 0.000 0.000 0.000
Y2 Y 0.000 0.500 0.500
Y3 Y 0.500 0.000 0.500
Y4 Y 0.500 0.500 0.000
Ta1 Ta 0.000 0.000 0.500
Ta2 Ta 0.000 0.500 0.000
Ta3 Ta 0.500 0.000 0.000
Ta4 Ta 0.500 0.500 0.500
Zn1 Zn 0.250 0.250 0.250
Zn2 Zn 0.250 0.250 0.750
Zn3 Zn 0.250 0.750 0.250
Zn4 Zn 0.250 0.750 0.750
Zn5 Zn 0.750 0.250 0.250
Zn6 Zn 0.750 0.250 0.750
Zn7 Zn 0.750 0.750 0.250
Zn8 Zn 0.750 0.750 0.750
```

Values from the calculation:
Energy of formation in eV per atom: 0.056
Energy above the lowest structure with this stoichiometry in kJ/mol of formula units: 34
D(E_F) in states/eV/f.u.: 1.24

[7]
An optimized crystal structure of Pr3PBr7, computed with PBE.

The structure in CIF format:
```
data_Pr3PBr7
_chemical_formula_sum 'Pr3 P1 Br7'
_cell_length_a 8.864
_cell_length_b 8.864
_cell_length_c 6.826
_cell_angle_alpha 90.00
_cell_angle_beta 90.00
_cell_angle_gamma 120.00
_space_group_name_H-M_alt 'P 1'
_space_group_IT_number 1
loop_
_space_group_symop_operation_xyz
'x,y,z'
loop_
_atom_site_label
_atom_site_type_symbol
_atom_site_fract_x
_atom_site_fract_y
_atom_site_fract_z
Pr1 Pr 0.008 0.504 0.000
Pr2 Pr 0.496 0.504 0.000
Pr3 Pr 0.496 0.992 0.000
P1 P 0.333 0.667 0.801
Br1 Br 0.179 0.357 0.244
Br2 Br 0.179 0.821 0.244
Br3 Br 0.352 0.176 0.779
Br4 Br 0.643 0.821 0.244
Br5 Br 0.667 0.333 0.247
Br6 Br 0.824 0.176 0.779
Br7 Br 0.824 0.648 0.779
```

Values from the calculation:
Formation energy from raw total energies in meV per atom: -1585

[8]
An optimized crystal structure of Co2TcAs, computed with PBE.

The structure in CIF format:
```
data_Co2TcAs
_chemical_formula_sum 'Co4 Tc2 As2'
_cell_length_a 8.177
_cell_length_b 2.724
_cell_length_c 4.590
_cell_angle_alpha 90.00
_cell_angle_beta 99.29
_cell_angle_gamma 90.00
_space_group_name_H-M_alt 'P 1'
_space_group_IT_number 1
loop_
_space_group_symop_operation_xyz
'x,y,z'
loop_
_atom_site_label
_atom_site_type_symbol
_atom_site_fract_x
_atom_site_fract_y
_atom_site_fract_z
Co1 Co 0.000 0.000 0.000
Co2 Co 0.248 0.500 0.258
Co3 Co 0.500 0.500 0.000
Co4 Co 0.748 0.000 0.258
Tc1 Tc 0.493 0.000 0.473
Tc2 Tc 0.993 0.500 0.473
As1 As 0.257 0.000 0.808
As2 As 0.757 0.500 0.808
```

Values from the calculation:
Energy of formation in eV per atom: 0.101
D(E_F) in states/eV/f.u.: 4.43

no.,M_tot (μB per cell),final energy (eV per atom)
1,0.0,-2.270
2,1.1,-4.707
3,0.0,-6.591
4,0.8,-3.280
5,0.0,-8.988
6,0.0,-5.160
7,1.0,-4.445
8,0.0,-7.206